Below is a relaxed In2TeRh crystal, with properties calculated at the PBE level.

Cell: 3.995 4.439 5.039 Å, 90.00 90.00 90.00°
Element x y z (fractional)
In  0.000  0.000  0.000
In  0.500  0.500  0.000
Te  0.000  0.500  0.500
Rh  0.500  0.000  0.500

Computed properties:
Formation energy (no corrections): 171 meV per atom
Raw total energy: -3.82 eV/atom
Magnetization: 0.00 μB per formula unit